## Ba2RuPb (GGA-PBE)

Data for an optimized crystal structure of Ba2RuPb.

crystal system: tetragonal
N(E_F): 3.20 states/eV/cell
total magnetization: 0.40 μB/f.u.
E: -16.1 eV/f.u.

Cell lengths 3.774, 3.774, 9.814 Å; angles 90.00, 90.00, 90.00 degrees
Positions (direct):
Ba  0.000  0.000  0.000
Ba  0.500  0.500  0.418
Ru  0.500  0.500  0.774
Pb  0.000  0.000  0.658